Record 1
A plane-wave DFT calculation with GGA-PBE was carried out for a geometry-optimized BePb2S structure.

The space group is Fm-3m (No. 225) and the conventional cell measures 7.160, 7.160 and 7.160 Å, with angles of 90.00, 90.00 and 90.00 degrees. Symmetry generates all atoms from Be at (0.000, 0.000, 0.000), Pb at (0.250, 0.250, 0.250) and S at (0.000, 0.000, 0.500).

The value obtained for the density of states at the Fermi level is 10.875 states/eV/cell. Its total DFT energy (no corrections) is -53.35 eV for the cell shown. For the offset from the most stable computed form, the calculation gives 294 meV per atom.

***

Record 2
A plane-wave DFT calculation with GGA-PBE was carried out for a geometry-optimized BePb2S structure.

The space group is I-42d (No. 122) and the conventional cell measures 5.993, 5.993 and 12.367 Å, with angles of 90.00, 90.00 and 90.00 degrees. Symmetry generates all atoms from Be at (0.000, 0.000, 0.000), Pb at (0.204, 0.250, 0.125) and S at (0.000, 0.000, 0.500).

The value obtained for the density of states at the Fermi level is 0.000 states/eV/cell. Its total DFT energy (no corrections) is -58.06 eV for the cell shown. For the offset from the most stable computed form, the calculation gives 0 meV per atom.

***

Record 3
A plane-wave DFT calculation with GGA-PBE was carried out for a geometry-optimized Be2PbS2 structure.

The space group is P4/mbm (No. 127) and the conventional cell measures 7.234, 7.234 and 3.176 Å, with angles of 90.00, 90.00 and 90.00 degrees. Symmetry generates all atoms from Be at (0.101, 0.399, 0.000), Pb at (0.000, 0.000, 0.000) and S at (0.139, 0.639, 0.500).

The value obtained for the density of states at the Fermi level is 3.953 states/eV/cell. Its total DFT energy (no corrections) is -36.65 eV for the cell shown. For the offset from the most stable computed form, the calculation gives 226 meV per atom.

***

Record 4
A plane-wave DFT calculation with GGA-PBE was carried out for a geometry-optimized BePbS3 structure.

The space group is Pm-3m (No. 221) and the conventional cell measures 5.130, 5.130 and 5.130 Å, with angles of 90.00, 90.00 and 90.00 degrees. Symmetry generates all atoms from Be at (0.000, 0.000, 0.000), Pb at (0.500, 0.500, 0.500) and S at (0.000, 0.500, 0.500).

The value obtained for the density of states at the Fermi level is 6.886 states/eV/cell. Its total DFT energy (no corrections) is -14.16 eV for the cell shown. For the offset from the most stable computed form, the calculation gives 1179 meV per atom.

***

Record 5
A plane-wave DFT calculation with GGA-PBE was carried out for a geometry-optimized ScBePb2S structure.

The space group is P4/mmm (No. 123) and the conventional cell measures 5.846, 5.846 and 3.700 Å, with angles of 90.00, 90.00 and 90.00 degrees. Symmetry generates all atoms from Sc at (0.000, 0.000, 0.000), Be at (0.500, 0.500, 0.000), Pb at (0.000, 0.500, 0.500) and S at (0.500, 0.500, 0.500).

The value obtained for the density of states at the Fermi level is 3.681 states/eV/cell. Its total DFT energy (no corrections) is -21.00 eV for the cell shown.

***

Record 6
A plane-wave DFT calculation with GGA-PBE was carried out for a geometry-optimized BeTePbS2 structure.

The space group is P4/mmm (No. 123) and the conventional cell measures 5.303, 5.303 and 4.567 Å, with angles of 90.00, 90.00 and 90.00 degrees. Symmetry generates all atoms from Be at (0.000, 0.000, 0.000), Te at (0.000, 0.000, 0.500), Pb at (0.500, 0.500, 0.000) and S at (0.000, 0.500, 0.500).

The value obtained for the density of states at the Fermi level is 2.651 states/eV/cell. Its total DFT energy (no corrections) is -16.49 eV for the cell shown.

***

Record 7
A plane-wave DFT calculation with GGA-PBE was carried out for a geometry-optimized TiBePb2S structure.

The space group is P4/mmm (No. 123) and the conventional cell measures 5.669, 5.669 and 3.650 Å, with angles of 90.00, 90.00 and 90.00 degrees. Symmetry generates all atoms from Ti at (0.000, 0.000, 0.000), Be at (0.500, 0.500, 0.500), Pb at (0.000, 0.500, 0.500) and S at (0.500, 0.500, 0.000).

The value obtained for the density of states at the Fermi level is 6.082 states/eV/cell. Its total DFT energy (no corrections) is -20.85 eV for the cell shown.

***

Record 8
A plane-wave DFT calculation with GGA-PBE was carried out for a geometry-optimized BeZnPb2S structure.

The space group is P4/mmm (No. 123) and the conventional cell measures 5.855, 5.855 and 3.745 Å, with angles of 90.00, 90.00 and 90.00 degrees. Symmetry generates all atoms from Be at (0.000, 0.000, 0.000), Zn at (0.500, 0.500, 0.000), Pb at (0.000, 0.500, 0.500) and S at (0.000, 0.000, 0.500).

The value obtained for the density of states at the Fermi level is 2.935 states/eV/cell. Its total DFT energy (no corrections) is -15.08 eV for the cell shown.

***

Number 1: density 8.242 Mg/m³, uncorrected formation energy 0.48 eV/atom. Number 2: density 6.811 Mg/m³, uncorrected formation energy 0.19 eV/atom. Number 3: density 5.782 Mg/m³, uncorrected formation energy 0.22 eV/atom. Number 4: density 3.842 Mg/m³, uncorrected formation energy 1.13 eV/atom. Number 5: density 6.572 Mg/m³, uncorrected formation energy 0.12 eV/atom. Number 6: density 5.275 Mg/m³, uncorrected formation energy 0.47 eV/atom. Number 7: density 7.126 Mg/m³, uncorrected formation energy 0.46 eV/atom. Number 8: density 6.736 Mg/m³, uncorrected formation energy 0.29 eV/atom.